Record 1
# Dy2TmPt

A geometry-optimized Dy2TmPt structure (PBE, Alexandria via LeMat-Bulk).

Summary:
- magnetic moment (μB/cell) = 0.00
- N(E_F) (states/eV/atom) = 1.22
- ΔE_f (meV per atom) = -578
- space group = P4/mmm (123)
- crystal system = tetragonal

abc: 3.570 3.570 8.291
angles: 90.00 90.00 90.00
Sites, in units of the cell vectors:
Tm 0.500 0.500 0.500
Pt 0.500 0.500 0.000
Dy 0.000 0.000 0.802
Dy 0.000 0.000 0.198

Record 2
# Dy2Tm2Pt3

A geometry-optimized Dy2Tm2Pt3 structure (PBE, Alexandria via LeMat-Bulk).

Summary:
- magnetic moment (μB/cell) = 0.00
- N(E_F) (states/eV/atom) = 0.41
- ΔE_f (meV per atom) = -1138
- space group = I2_13 (199)
- crystal system = cubic

abc: 7.508 7.508 7.508
angles: 109.47 109.47 109.47
Sites, in units of the cell vectors:
Dy 0.500 0.372 0.500
Dy 0.000 0.000 0.372
Dy 0.628 0.128 0.128
Dy 0.872 0.500 0.000
Tm 0.000 0.000 0.873
Tm 0.500 0.873 0.500
Tm 0.127 0.627 0.627
Tm 0.373 0.500 0.000
Pt 0.750 0.629 0.379
Pt 0.250 0.871 0.121
Pt 0.621 0.750 0.871
Pt 0.879 0.250 0.629
Pt 0.371 0.121 0.750
Pt 0.129 0.379 0.250

Record 3
# Dy2TmPt

A geometry-optimized Dy2TmPt structure (PBE, Alexandria via LeMat-Bulk).

Summary:
- magnetic moment (μB/cell) = 0.00
- N(E_F) (states/eV/atom) = 1.24
- ΔE_f (meV per atom) = -684
- space group = Cmcm (63)
- crystal system = orthorhombic

abc: 3.759 6.308 9.452
angles: 90.00 90.00 107.33
Sites, in units of the cell vectors:
Dy 0.136 0.272 0.436
Dy 0.864 0.728 0.564
Dy 0.864 0.728 0.936
Dy 0.136 0.272 0.064
Tm 0.427 0.855 0.250
Tm 0.573 0.145 0.750
Pt 0.743 0.485 0.250
Pt 0.257 0.515 0.750

Record 4
# DyTm2Pt2

A geometry-optimized DyTm2Pt2 structure (PBE, Alexandria via LeMat-Bulk).

Summary:
- magnetic moment (μB/cell) = 0.00
- N(E_F) (states/eV/atom) = 0.65
- ΔE_f (meV per atom) = -1082
- space group = P2_1/m (11)
- crystal system = monoclinic

abc: 4.533 5.412 10.940
angles: 111.37 90.00 90.00
Sites, in units of the cell vectors:
Dy 0.250 0.807 0.212
Dy 0.750 0.193 0.788
Tm 0.250 0.771 0.882
Tm 0.750 0.229 0.118
Tm 0.250 0.286 0.533
Tm 0.750 0.714 0.467
Pt 0.250 0.869 0.637
Pt 0.750 0.131 0.363
Pt 0.250 0.319 0.974
Pt 0.750 0.681 0.026

Record 5
# DyUPt6

A geometry-optimized DyUPt6 structure (PBE, Alexandria via LeMat-Bulk).

Summary:
- magnetic moment (μB/cell) = 1.23
- N(E_F) (states/eV/atom) = 1.00
- ΔE_f (meV per atom) = -922
- space group = P4/mmm (123)
- crystal system = tetragonal

abc: 4.138 4.138 8.261
angles: 90.00 90.00 90.00
Sites, in units of the cell vectors:
Dy 0.000 0.000 0.000
U 0.000 0.000 0.500
Pt 0.500 0.500 0.000
Pt 0.500 0.500 0.500
Pt 0.500 0.000 0.254
Pt 0.500 0.000 0.746
Pt 0.000 0.500 0.254
Pt 0.000 0.500 0.746

Record 6
# DyUPt2

A geometry-optimized DyUPt2 structure (PBE, Alexandria via LeMat-Bulk).

Summary:
- magnetic moment (μB/cell) = 2.76
- N(E_F) (states/eV/atom) = 1.53
- ΔE_f (meV per atom) = -831
- space group = P4/mmm (123)
- crystal system = tetragonal

abc: 3.310 5.063 5.063
angles: 90.00 90.00 90.00
Sites, in units of the cell vectors:
U 0.500 0.500 0.500
Pt 0.000 0.000 0.500
Pt 0.000 0.500 0.000
Dy 0.500 0.000 0.000

Record 7
# Dy2UPt9

A geometry-optimized Dy2UPt9 structure (PBE, Alexandria via LeMat-Bulk).

Summary:
- magnetic moment (μB/cell) = 1.17
- N(E_F) (states/eV/atom) = 0.77
- ΔE_f (meV per atom) = -969
- space group = P4/mmm (123)
- crystal system = tetragonal

abc: 4.137 4.137 12.348
angles: 90.00 90.00 90.00
Sites, in units of the cell vectors:
Dy 0.000 0.000 0.337
Dy 0.000 0.000 0.663
U 0.000 0.000 0.000
Pt 0.500 0.500 0.000
Pt 0.500 0.500 0.333
Pt 0.500 0.500 0.667
Pt 0.500 0.000 0.163
Pt 0.500 0.000 0.500
Pt 0.500 0.000 0.837
Pt 0.000 0.500 0.163
Pt 0.000 0.500 0.500
Pt 0.000 0.500 0.837

Record 8
# Dy2U2Pt15

A geometry-optimized Dy2U2Pt15 structure (PBE, Alexandria via LeMat-Bulk).

Summary:
- magnetic moment (μB/cell) = 0.00
- N(E_F) (states/eV/atom) = 1.14
- ΔE_f (meV per atom) = -632
- space group = R-3m (166)
- crystal system = trigonal

abc: 7.086 7.086 7.086
angles: 81.67 81.67 81.67
Sites, in units of the cell vectors:
Dy 0.360 0.360 0.360
Dy 0.640 0.640 0.640
U 0.086 0.086 0.086
U 0.914 0.914 0.914
Pt 0.500 0.000 0.000
Pt 0.000 0.000 0.500
Pt 0.000 0.500 0.000
Pt 0.000 0.677 0.323
Pt 0.677 0.323 0.000
Pt 0.323 0.000 0.677
Pt 0.323 0.677 0.000
Pt 0.677 0.000 0.323
Pt 0.000 0.323 0.677
Pt 0.163 0.659 0.659
Pt 0.659 0.659 0.163
Pt 0.659 0.163 0.659
Pt 0.837 0.341 0.341
Pt 0.341 0.341 0.837
Pt 0.341 0.837 0.341